## Ce4Te2PIr (PBE)

Data for a relaxed Ce4Te2PIr crystal.

Symmetry: P2/m
Energy relative to the elements, uncorrected: -1228.4 meV/atom

Geometry as POSCAR:
```
Ce4Te2PIr
1.0
7.380 0.000 0.000
0.000 4.199 0.000
-2.382 0.000 7.275
Ce Te P Ir
4 2 1 1
Cartesian
1.222 0.000 1.525
0.015 2.099 5.734
4.983 2.099 1.541
3.776 0.000 5.750
-1.191 0.000 3.638
2.499 2.099 3.638
3.690 0.000 0.000
0.000 2.099 0.000
```


## SrSc2Ti (PBE)

Data for a relaxed SrSc2Ti crystal.

Calculated formation energy: 157.1 kJ/mol of formula units
Offset from the most stable computed form: 0 meV/atom
Symmetry: R-3m

Geometry as POSCAR:
```
SrSc2Ti
1.0
1.644 0.949 11.381
-1.644 0.949 11.381
0.000 -1.899 11.381
Sr Sc Ti
1 2 1
Cartesian
0.000 0.000 0.000
0.000 0.000 3.365
0.000 0.000 30.779
0.000 0.000 17.072
```


DOS(E_F), record by record: 2.82; 1.73 states/eV/atom